[1]
Sr4ScIr (GGA-PBE, relaxed); size of the total moment = 2.53 μB/cell; volume = 34.898 A^3/atom; formation energy = 1.02 eV/atom
1.0
0.000 4.713 4.713
4.713 0.000 4.713
4.713 4.713 0.000
Sr Sc Ir
4 1 1
Direct
0.376 0.376 0.376 Sr
0.376 0.873 0.376 Sr
0.376 0.376 0.873 Sr
0.873 0.376 0.376 Sr
0.000 0.000 0.000 Sc
0.750 0.750 0.750 Ir

[2]
AlZnRu2 (GGA-PBE, relaxed); size of the total moment = 0.00 μB/cell; volume = 13.926 A^3/atom; formation energy = -0.13 eV/atom
1.0
-1.283 -3.285 -2.183
1.940 -1.568 1.220
-2.153 -1.904 4.131
Zn Ru Al
1 2 1
Direct
0.000 0.699 0.477 Zn
0.000 0.957 0.961 Ru
0.500 0.293 0.288 Ru
0.500 0.551 0.774 Al

[3]
SrPmRu4 (GGA-PBE, relaxed); size of the total moment = 0.80 μB/cell; volume = 18.980 A^3/atom; formation energy = 0.10 eV/atom
1.0
-1.974 -4.454 -2.422
1.350 -1.120 -5.150
3.297 -4.186 -1.099
Ru Sr Pm
4 1 1
Direct
0.124 0.625 0.625 Ru
0.625 0.625 0.124 Ru
0.625 0.124 0.625 Ru
0.625 0.625 0.625 Ru
0.250 0.250 0.250 Sr
0.000 0.000 0.000 Pm

[4]
Te2AsOsN (GGA-PBE, relaxed); size of the total moment = 0.00 μB/cell; volume = 21.761 A^3/atom; ΔE_f (raw) = 466.7 meV per atom
1.0
-2.844 4.619 -0.216
-4.582 -2.850 -0.601
-0.425 -0.090 3.666
Os N As Te
1 1 1 2
Direct
0.000 0.000 0.000 Os
0.000 0.000 0.500 N
0.500 0.500 0.500 As
0.000 0.500 0.000 Te
0.500 0.000 0.000 Te

[5]
Co2ReMo (GGA-PBE, relaxed); size of the total moment = 0.55 μB/cell; volume = 13.022 A^3/atom; formation energy = 0.14 eV/atom
1.0
-2.056 -1.632 1.637
1.891 0.073 2.447
-2.339 4.623 1.671
Co Mo Re
2 1 1
Direct
0.500 0.500 0.239 Co
0.000 0.000 0.011 Co
0.000 0.000 0.477 Mo
0.500 0.500 0.773 Re

[6]
In2GaAg7Sn2 (GGA-PBE, relaxed); size of the total moment = 0.00 μB/cell; volume = 21.142 A^3/atom; formation energy = 0.08 eV/atom
1.0
-0.590 -1.513 3.650
-0.416 -3.647 -1.576
15.133 -5.025 2.555
Sn In Ag Ga
2 2 7 1
Direct
0.815 0.815 0.367 Sn
0.185 0.185 0.633 Sn
0.637 0.637 0.729 In
0.363 0.363 0.271 In
0.500 0.500 0.000 Ag
0.932 0.431 0.135 Ag
0.569 0.068 0.865 Ag
0.728 0.728 0.545 Ag
0.068 0.569 0.865 Ag
0.272 0.272 0.455 Ag
0.431 0.932 0.135 Ag
0.000 0.000 0.000 Ga

| no. | energy (eV per atom) |
| --- | --- |
| 1 | -2.6374 |
| 2 | -6.0184 |
| 3 | -7.1563 |
| 4 | -5.6309 |
| 5 | -9.2360 |
| 6 | -2.9598 |